Record 1
A relaxed structure of Re3Te5. Source: Alexandria via LeMat-Bulk, functional PBE-GGA.

Values from the calculation:
As for the excess energy over the best structure of this formula in the dataset: 0.00 eV/f.u. As for the volume: 25.35 Å³/atom. The magnetic moment comes out at 0.0 μB per formula unit. The calculation puts the uncorrected formation energy at 0.570 eV/atom.

abc: 7.043 15.641 8.149
angles: 90.00 115.38 90.00
Space group C2/m (No. 12)
Unique sites:
Re (0.000, 0.143, 0.000)
Re (0.000, 0.243, 0.500)
Re (0.081, 0.500, 0.408)
Te (0.208, 0.131, 0.386)
Te (0.235, 0.300, 0.156)
Te (0.240, 0.500, 0.951)

=====

Record 2
A relaxed structure of Rb2Hg6SbAu. Source: Alexandria via LeMat-Bulk, functional PBE-GGA.

Values from the calculation:
As for the volume: 34.46 Å³/atom. The magnetic moment comes out at 0.0 μB per formula unit. The calculation puts the uncorrected formation energy at -0.147 eV/atom.

abc: 8.201 9.976 8.422
angles: 90.00 90.00 90.00
Space group Pmmn (No. 59, origin choice 2)
Unique sites:
Rb (0.250, 0.033, 0.248)
Hg (0.063, 0.250, 0.902)
Hg (0.069, 0.750, 0.509)
Hg (0.250, 0.525, 0.700)
Sb (0.250, 0.750, 0.942)
Au (0.250, 0.250, 0.608)

=====

Record 3
A relaxed structure of YTcTe2. Source: Alexandria via LeMat-Bulk, functional PBE-GGA.

Values from the calculation:
As for the excess energy over the best structure of this formula in the dataset: 0.75 eV/f.u. As for the volume: 22.89 Å³/atom. The magnetic moment comes out at 2.0 μB per formula unit. The calculation puts the uncorrected formation energy at -0.262 eV/atom.

abc: 7.155 7.155 7.155
angles: 90.00 90.00 90.00
Space group Fm-3m (No. 225)
Unique sites:
Y (0.000, 0.000, 0.000)
Tc (0.000, 0.000, 0.500)
Te (0.250, 0.250, 0.250)

=====

Record 4
A relaxed structure of Th2CdPd. Source: Alexandria via LeMat-Bulk, functional PBE-GGA.

Values from the calculation:
As for the formation energy: 0.035 eV/atom. As for the excess energy over the best structure of this formula in the dataset: 1.56 eV/f.u. As for the volume: 29.31 Å³/atom. The magnetic moment comes out at 0.0 μB per formula unit.

abc: 3.4702 3.4702 33.7241
angles: 90.00 90.00 120.00
Space group R-3m (No. 166, hexagonal axes)
Unique sites:
Th (0.0000, 0.0000, 0.1002)
Cd (0.0000, 0.0000, 0.0000)
Pd (0.0000, 0.0000, 0.5000)

=====

Record 5
A relaxed structure of Ca2Pb2W. Source: Alexandria via LeMat-Bulk, functional PBE-GGA.

Values from the calculation:
As for the formation energy: 0.780 eV/atom. As for the excess energy over the best structure of this formula in the dataset: 0.00 eV/f.u. As for the volume: 28.01 Å³/atom. The magnetic moment comes out at 2.9 μB per formula unit.

abc: 9.183 9.183 3.322
angles: 90.00 90.00 90.00
Space group P4/mbm (No. 127)
Unique sites:
Ca (0.124, 0.376, 0.000)
Pb (0.180, 0.680, 0.500)
W (0.000, 0.000, 0.000)

=====

Record 6
A relaxed structure of Y4CrAg. Source: Alexandria via LeMat-Bulk, functional PBE-GGA.

Values from the calculation:
As for the formation energy: 0.696 eV/atom. As for the volume: 28.88 Å³/atom. The magnetic moment comes out at 4.3 μB per formula unit.

abc: 8.850 8.850 8.850
angles: 90.00 90.00 90.00
Space group F-43m (No. 216)
Unique sites:
Y (0.125, 0.125, 0.125)
Cr (0.000, 0.000, 0.500)
Ag (0.250, 0.250, 0.750)

=====

Record 7
A relaxed structure of NaCuPd2. Source: Alexandria via LeMat-Bulk, functional PBE-GGA.

Values from the calculation:
As for the formation energy: 0.013 eV/atom. As for the volume: 15.58 Å³/atom. The magnetic moment comes out at 0.0 μB per formula unit.

abc: 4.031 4.031 3.835
angles: 90.00 90.00 90.00
Space group P4/mmm (No. 123)
Unique sites:
Na (0.000, 0.000, 0.000)
Cu (0.500, 0.500, 0.000)
Pd (0.000, 0.500, 0.500)

=====

Record 8
A relaxed structure of Sc2NbBPb. Source: Alexandria via LeMat-Bulk, functional PBE-GGA.

Values from the calculation:
As for the formation energy: -0.319 eV/atom. As for the volume: 19.36 Å³/atom. The magnetic moment comes out at 0.6 μB per formula unit.

abc: 4.656 4.656 4.465
angles: 90.00 90.00 90.00
Space group P4/mmm (No. 123)
Unique sites:
Sc (0.000, 0.500, 0.000)
Nb (0.000, 0.000, 0.500)
B (0.000, 0.000, 0.000)
Pb (0.500, 0.500, 0.500)

=====

Record 9
A relaxed structure of Na4NpRh3S8. Source: Alexandria via LeMat-Bulk, functional PBE-GGA.

Values from the calculation:
As for the volume: 19.04 Å³/atom. The magnetic moment comes out at 3.4 μB per formula unit. The calculation puts the uncorrected formation energy at -0.875 eV/atom.

abc: 7.2689 7.2689 19.9692
angles: 90.00 90.00 120.00
Space group R-3m (No. 166, hexagonal axes)
Unique sites:
Na (0.0000, 0.0000, 0.0000)
Na (0.0000, 0.5000, 0.0000)
Np (0.0000, 0.0000, 0.5000)
Rh (0.0000, 0.5000, 0.5000)
S (0.0000, 0.0000, 0.2266)
S (0.0231, 0.5116, 0.7627)

=====

Record 10
A relaxed structure of NdNi2Ir. Source: Alexandria via LeMat-Bulk, functional PBE-GGA.

Values from the calculation:
As for the formation energy: -0.364 eV/atom. As for the volume: 18.08 Å³/atom. The magnetic moment comes out at 0.0 μB per formula unit.

abc: 4.2127 4.2127 14.1164
angles: 90.00 90.00 120.00
Space group R-3m (No. 166, hexagonal axes)
Unique sites:
Nd (0.0000, 0.0000, 0.0000)
Ni (0.0000, 0.0000, 0.1940)
Ir (0.0000, 0.0000, 0.5000)

=====

Record 11
A relaxed structure of Ti4AlGa4. Source: Alexandria via LeMat-Bulk, functional PBE-GGA.

Values from the calculation:
As for the formation energy: -0.155 eV/atom. As for the volume: 17.18 Å³/atom. The magnetic moment comes out at 0.0 μB per formula unit.

abc: 7.788 7.788 5.100
angles: 90.00 90.00 90.00
Space group I4/m (No. 87)
Unique sites:
Ti (0.053, 0.341, 0.000)
Al (0.000, 0.000, 0.000)
Ga (0.102, 0.212, 0.500)

=====

Record 12
A relaxed structure of ZnPt2Cl. Source: Alexandria via LeMat-Bulk, functional PBE-GGA.

Values from the calculation:
As for the excess energy over the best structure of this formula in the dataset: 0.61 eV/f.u. As for the volume: 16.61 Å³/atom. The magnetic moment comes out at 0.0 μB per formula unit. The calculation puts the uncorrected formation energy at 0.068 eV/atom.

abc: 3.155 4.552 4.628
angles: 90.00 91.23 90.00
Space group P2/m (No. 10)
Unique sites:
Zn (0.000, 0.000, 0.000)
Pt (0.238, 0.500, 0.761)
Cl (0.500, 0.000, 0.500)